Entry from Alexandria: crystalline ReTc3Ni at its relaxed geometry (PBE).

Structure (POSCAR):
```
ReTc3Ni
1.0
4.336 0.000 0.000
0.000 4.336 0.000
0.000 0.000 4.336
Re Tc Ni
1 3 1
Direct
0.000 0.000 0.000
0.000 0.500 0.500
0.500 0.000 0.500
0.500 0.500 0.000
0.500 0.500 0.500
```

Computed properties:
- symmetry = Pm-3m
- formation energy from the elements (eV per atom) = 1.607
- total DFT energy (no corrections) (eV/f.u.) = -41.29

Entry from Alexandria: crystalline ZnAs2Br at its relaxed geometry (PBE).

Structure (POSCAR):
```
ZnAs2Br
1.0
2.702 -7.062 0.000
2.702 7.062 0.000
0.000 0.000 2.610
Zn As Br
1 2 1
Direct
0.000 0.000 0.000
0.000 0.500 0.500
0.500 0.000 0.500
0.500 0.500 0.000
```

Computed properties:
- symmetry = Cmmm
- E_form (uncorrected) (meV/atom) = 360
- total DFT energy (no corrections) (eV/f.u.) = -10.81

Entry from Alexandria: crystalline AcYBi2 at its relaxed geometry (PBE).

Structure (POSCAR):
```
AcYBi2
1.0
2.316 1.337 8.012
-2.316 1.337 8.012
0.000 -2.675 8.012
Ac Y Bi
1 1 2
Direct
0.000 0.000 0.000
0.170 0.170 0.170
0.424 0.424 0.424
0.580 0.580 0.580
```

Computed properties:
- symmetry = R3m
- formation energy from the elements (eV per atom) = -0.815
- total DFT energy (no corrections) (eV/f.u.) = -21.60

Entry from Alexandria: crystalline AlHg2W at its relaxed geometry (PBE).

Structure (POSCAR):
```
AlHg2W
1.0
2.892 0.000 0.000
0.000 2.892 0.000
0.000 0.000 9.175
Al Hg W
1 2 1
Direct
0.000 0.000 0.000
0.000 0.000 0.550
0.500 0.500 0.254
0.500 0.500 0.798
```

Computed properties:
- symmetry = P4mm
- formation energy from the elements (eV per atom) = 0.426
- total DFT energy (no corrections) (eV/f.u.) = -15.60

Entry from Alexandria: crystalline La2NdEu at its relaxed geometry (PBE).

Structure (POSCAR):
```
La2NdEu
1.0
0.000 4.225 4.225
4.225 0.000 4.225
4.225 4.225 0.000
La Nd Eu
2 1 1
Direct
0.250 0.250 0.250
0.750 0.750 0.750
0.000 0.000 0.000
0.500 0.500 0.500
```

Computed properties:
- symmetry = Fm-3m
- formation energy from the elements (eV per atom) = 0.115
- total DFT energy (no corrections) (eV/f.u.) = -24.44

Entry from Alexandria: crystalline PrNdSm5Er2 at its relaxed geometry (PBE).

Structure (POSCAR):
```
PrNdSm5Er2
1.0
2.844 -10.133 0.000
2.844 10.133 0.000
0.000 0.000 10.675
Pr Nd Sm Er
2 2 10 4
Direct
0.085 0.915 0.500
0.915 0.085 0.000
0.299 0.701 0.062
0.701 0.299 0.562
0.023 0.977 0.790
0.109 0.891 0.077
0.203 0.797 0.758
0.219 0.781 0.361
0.483 0.517 0.076
0.517 0.483 0.576
0.781 0.219 0.861
0.797 0.203 0.258
0.891 0.109 0.577
0.977 0.023 0.290
0.384 0.616 0.374
0.388 0.612 0.785
0.612 0.388 0.285
0.616 0.384 0.874
```

Computed properties:
- symmetry = Cmc2_1
- formation energy from the elements (eV per atom) = 0.153
- total DFT energy (no corrections) (eV/f.u.) = -40.89

Entry from Alexandria: crystalline CaAc2Hg2 at its relaxed geometry (PBE).

Structure (POSCAR):
```
CaAc2Hg2
1.0
-2.546 3.619 4.664
2.546 -3.619 4.664
2.546 3.619 -4.664
Ca Ac Hg
1 2 2
Direct
0.000 0.000 0.000
0.300 0.800 0.500
0.700 0.200 0.500
0.280 0.500 0.780
0.720 0.500 0.220
```

Computed properties:
- symmetry = Immm
- formation energy from the elements (eV per atom) = -0.356
- total DFT energy (no corrections) (eV/f.u.) = -12.60

Entry from Alexandria: crystalline KHf3Cu at its relaxed geometry (PBE).

Structure (POSCAR):
```
KHf3Cu
1.0
5.058 0.000 0.000
0.000 5.058 0.000
0.000 0.000 5.058
K Hf Cu
1 3 1
Direct
0.000 0.000 0.000
0.000 0.500 0.500
0.500 0.000 0.500
0.500 0.500 0.000
0.500 0.500 0.500
```

Computed properties:
- symmetry = Pm-3m
- formation energy from the elements (eV per atom) = 0.940
- total DFT energy (no corrections) (eV/f.u.) = -30.35

Entry from Alexandria: crystalline SmLuIrPb at its relaxed geometry (PBE).

Structure (POSCAR):
```
SmLuIrPb
1.0
0.000 3.636 3.636
3.636 0.000 3.636
3.636 3.636 0.000
Sm Lu Ir Pb
1 1 1 1
Direct
0.000 0.000 0.000
0.500 0.500 0.500
0.250 0.250 0.250
0.750 0.750 0.750
```

Computed properties:
- symmetry = F-43m
- formation energy from the elements (eV per atom) = -0.447
- total DFT energy (no corrections) (eV/f.u.) = -23.60

Entry from Alexandria: crystalline Tl8In4Pb at its relaxed geometry (PBE).

Structure (POSCAR):
```
Tl8In4Pb
1.0
8.290 -1.692 0.000
8.290 1.692 0.000
-8.177 0.000 14.379
Tl In Pb
8 4 1
Direct
0.000 0.000 0.000
0.010 0.010 0.502
0.292 0.292 0.336
0.361 0.361 0.070
0.592 0.592 0.712
0.663 0.663 0.450
0.712 0.712 0.121
0.914 0.914 0.748
0.139 0.139 0.910
0.365 0.365 0.558
0.584 0.584 0.221
0.948 0.948 0.282
0.299 0.299 0.841
```

Computed properties:
- symmetry = Cm
- formation energy from the elements (eV per atom) = 0.043
- total DFT energy (no corrections) (eV/f.u.) = -33.03